1.
DFT (GGA+U) results for Na2Fe3SbO8 after structural relaxation.

Symmetry = Pmn2_1, No. 31

a = 2.9984 Å, b = 9.5599 Å, c = 10.8398 Å
α = 90.00°, β = 90.00°, γ = 90.00°
With the nearest neighbours (Å) after each atom.
Fractional coordinates of all 28 atoms:
Na 0.0000 0.0034 0.0000  4 O 2.37-2.41
Na 0.0000 0.5250 0.2135  7 O 2.36-2.57
Na 0.5000 0.4750 0.7135  7 O 2.36-2.57
Na 0.5000 0.9966 0.5000  4 O 2.37-2.41
Fe 0.0000 0.1777 0.7652  5 O 1.96-2.01
Fe 0.0000 0.6658 0.4671  6 O 1.98-2.17
Fe 0.0000 0.6814 0.9934  5 O 1.97-2.15
Fe 0.5000 0.3186 0.4934  5 O 1.97-2.15
Fe 0.5000 0.3342 0.9671  6 O 1.98-2.17
Fe 0.5000 0.8223 0.2652  5 O 1.96-2.01
Sb 0.0000 0.1991 0.2468  6 O 1.98-2.04
Sb 0.5000 0.8009 0.7468  6 O 1.98-2.04
O 0.0000 0.1762 0.4279  1 Sb 1.98, 2 Fe 2.15
O 0.0000 0.2745 0.0745  2 Fe 1.98, 1 Sb 2.00
O 0.0000 0.3642 0.8501  3 Fe 1.98-2.01
O 0.0000 0.4503 0.5225  3 Fe 1.98-2.15
O 0.0000 0.6622 0.7831  2 Sb 2.04
O 0.0000 0.7822 0.1518  3 Fe 1.97-1.98
O 0.0000 0.8672 0.3745  3 Fe 1.96-2.17
O 0.0000 0.9362 0.7050  2 Sb 2.03
O 0.5000 0.0638 0.2050  2 Sb 2.03
O 0.5000 0.1328 0.8745  3 Fe 1.96-2.17
O 0.5000 0.2178 0.6518  3 Fe 1.97-1.98
O 0.5000 0.3378 0.2831  2 Sb 2.04
O 0.5000 0.5497 0.0225  3 Fe 1.98-2.15
O 0.5000 0.6358 0.3501  3 Fe 1.98-2.01
O 0.5000 0.7255 0.5745  2 Fe 1.98, 1 Sb 2.00
O 0.5000 0.8238 0.9279  1 Sb 1.98, 2 Fe 2.15



2.
DFT (GGA+U) results for NaFe2SbO6 after structural relaxation.

Symmetry = P1, No. 1

a = 5.2048 Å, b = 5.3158 Å, c = 5.6114 Å
α = 62.20°, β = 63.98°, γ = 61.16°
With the nearest neighbours (Å) after each atom.
Fractional coordinates of all 10 atoms:
Na 0.0000 0.0000 0.0000  5 O 2.24-2.49
Fe 0.2248 0.2050 0.3532  5 O 1.91-2.14
Fe 0.7291 0.7188 0.8280  5 O 1.98-2.13
Sb 0.5196 0.5195 0.4352  6 O 1.98-2.05
O 0.1207 0.7992 0.6165  2 Fe 2.00-2.14, 1 Sb 2.03
O 0.3497 0.5511 0.1558  1 Fe 1.91, 1 Sb 2.02
O 0.4479 0.1175 0.6177  2 Fe 2.03-2.05, 1 Sb 2.04
O 0.5621 0.9126 0.1405  1 Sb 2.01, 2 Fe 2.04-2.09
O 0.7872 0.4505 0.6404  1 Sb 1.98, 1 Fe 1.98
O 0.9202 0.3583 0.1573  2 Fe 1.96-2.13, 1 Sb 2.05



3.
DFT (GGA+U) results for NaFe3Se4O12 after structural relaxation.

Symmetry = R32, No. 155

a = 6.6967 Å, b = 6.6967 Å, c = 6.6967 Å
α = 104.67°, β = 104.67°, γ = 104.67°
With the nearest neighbours (Å) after each atom.
Fractional coordinates of all 20 atoms:
Na 0.0000 0.0000 0.0000  6 O 2.63
Fe 0.0000 0.5726 0.4274  4 O 1.94-2.00
Fe 0.4274 0.0000 0.5726  4 O 1.94-2.00
Fe 0.5726 0.4274 0.0000  4 O 1.94-2.00
Se 0.0976 0.5000 0.9024  3 O 1.75-1.87
Se 0.5000 0.5000 0.5000  3 O 1.95
Se 0.5000 0.9024 0.0976  3 O 1.75-1.87
Se 0.9024 0.0976 0.5000  3 O 1.75-1.87
O 0.0475 0.2835 0.3760  1 Se 1.87, 1 Fe 2.00
O 0.0674 0.9326 0.5000  1 Se 1.75
O 0.2835 0.3760 0.0475  1 Se 1.87, 1 Fe 2.00
O 0.3160 0.6840 0.5000  2 Fe 1.94, 1 Se 1.95
O 0.3760 0.0475 0.2835  1 Se 1.87, 1 Fe 2.00
O 0.5000 0.0674 0.9326  1 Se 1.75
O 0.5000 0.3160 0.6840  2 Fe 1.94, 1 Se 1.95
O 0.6240 0.7165 0.9525  1 Se 1.87, 1 Fe 2.00
O 0.6840 0.5000 0.3160  2 Fe 1.94, 1 Se 1.95
O 0.7165 0.9525 0.6240  1 Se 1.87, 1 Fe 2.00
O 0.9326 0.5000 0.0674  1 Se 1.75
O 0.9525 0.6240 0.7165  1 Se 1.87, 1 Fe 2.00



| no. | total energy (eV/atom) |
| --- | --- |
| 1 | -5.86 |
| 2 | -6.05 |
| 3 | -5.37 |